Ac2YHgO6 | GGA-PBE | optimized geometry

Values from the calculation:
- Formation energy (no corrections): -2.54 eV/atom

Cell: 5.8870 6.0439 11.0572 Å, 90.00 119.75 90.00°
With the nearest neighbours (Å) after each atom.
Element x y z (fractional)
Ac  0.2203  0.0497  0.2422  5 O 2.41-2.62
Ac  0.2203  0.4503  0.7422  5 O 2.41-2.62
Ac  0.7797  0.5497  0.2578  5 O 2.41-2.62
Ac  0.7797  0.9503  0.7578  5 O 2.41-2.62
Y  0.5000  0.0000  0.0000  6 O 2.24-2.31
Y  0.5000  0.5000  0.5000  6 O 2.24-2.31
Hg  0.0000  0.0000  0.5000  4 O 2.16-2.28
Hg  0.0000  0.5000  0.0000  4 O 2.16-2.28
O  0.1407  0.2179  0.9365  1 Hg 2.16, 1 Y 2.29
O  0.1407  0.2821  0.4365  1 Hg 2.16, 1 Y 2.29
O  0.1967  0.7181  0.9106  1 Hg 2.28, 1 Y 2.31, 1 Ac 2.52
O  0.1967  0.7819  0.4106  1 Hg 2.28, 1 Y 2.31, 1 Ac 2.52
O  0.4163  0.0741  0.7829  1 Y 2.24, 2 Ac 2.41-2.49
O  0.4163  0.4259  0.2829  1 Y 2.24, 2 Ac 2.41-2.49
O  0.5837  0.5741  0.7171  1 Y 2.24, 2 Ac 2.41-2.49
O  0.5837  0.9259  0.2171  1 Y 2.24, 2 Ac 2.41-2.49
O  0.8033  0.2181  0.5894  1 Hg 2.28, 1 Y 2.31, 1 Ac 2.52
O  0.8033  0.2819  0.0894  1 Hg 2.28, 1 Y 2.31, 1 Ac 2.52
O  0.8593  0.7179  0.5635  1 Hg 2.16, 1 Y 2.29
O  0.8593  0.7821  0.0635  1 Hg 2.16, 1 Y 2.29

Ca3VRu | GGA-PBE | optimized geometry

Values from the calculation:
- ΔH_f (0 K): 715 meV per atom
- Energy above the lowest structure with this stoichiometry: 0 meV per atom

Cell: 5.3783 5.3783 5.3783 Å, 90.00 90.00 90.00°
With the nearest neighbours (Å) after each atom.
Element x y z (fractional)
Ca  0.0000  0.0000  0.5000  2 Ru 2.69
Ca  0.0000  0.5000  0.0000  2 Ru 2.69
Ca  0.5000  0.0000  0.0000  2 Ru 2.69
V  0.5000  0.5000  0.5000  12 Ca 3.80
Ru  0.0000  0.0000  0.0000  6 Ca 2.69

La6In2FeN | GGA-PBE | optimized geometry

Values from the calculation:
- Formation energy (no corrections): -0.45 eV/atom

Cell: 7.3583 7.4330 7.4357 Å, 60.06 60.52 60.62°
With the nearest neighbours (Å) after each atom.
Element x y z (fractional)
La  0.0000  0.0000  0.0000  1 N 2.50
La  0.0097  0.9552  0.5052  1 Fe 2.33
La  0.4637  0.4331  0.0633  1 N 2.57
La  0.4849  0.4033  0.5533  1 N 2.61, 1 Fe 2.72
La  0.5308  0.9127  0.5168  1 Fe 2.43, 1 N 2.65
La  0.9388  0.4891  0.0471  1 N 2.54
In  0.4913  0.9514  0.0258  7 La 3.40-3.80
In  0.9899  0.4511  0.5221  8 La 3.44-3.79
Fe  0.2457  0.7415  0.7130  2 La 2.33-2.43
N  0.7470  0.2004  0.2685  6 La 2.50-2.65

K2NbBr4Cl2 | GGA-PBE | optimized geometry

Values from the calculation:
- Formation energy (no corrections): -1.38 eV/atom

Cell: 7.3687 7.3687 7.6682 Å, 121.17 121.17 62.30°
With the nearest neighbours (Å) after each atom.
Element x y z (fractional)
K  0.2474  0.2474  0.2583  1 Cl 3.28, 4 Br 3.50-3.52
K  0.7526  0.7526  0.7417  1 Cl 3.28, 4 Br 3.50-3.52
Nb  0.0000  0.0000  0.5000  2 Cl 2.41, 4 Br 2.61
Br  0.2070  0.7237  0.2278  1 Nb 2.61
Br  0.2763  0.7930  0.7722  1 Nb 2.61
Br  0.7237  0.2070  0.2278  1 Nb 2.61
Br  0.7930  0.2763  0.7722  1 Nb 2.61
Cl  0.2355  0.2355  0.6733  1 Nb 2.41
Cl  0.7645  0.7645  0.3267  1 Nb 2.41

In the order shown, the computed Fermi-level density of states values come out to 3.5 9.1 6.4 5.2 states/eV per cell.
In the order shown, the computed magnetic moment values come out to 1.910 4.372 0.000 1.001 μB/cell.
In the order shown, the computed calculated volume values come out to 341.6 155.6 290.2 293.6 Å³ per cell.